Here is crystalline AgTeRu2 at its relaxed geometry from Alexandria via LeMat-Bulk. Energies are from PBE-GGA.

Cell lengths 3.014, 3.014, 8.685 Å; angles 90.00, 90.00, 115.56 degrees
Fractional positions:
Ag 0.500 0.500 0.750
Ru 0.000 0.000 0.016
Ru 0.000 0.000 0.484
Te 0.500 0.500 0.250

Raw formation energy ... 0.817 eV per atom

Here is crystalline AgTeRu4 at its relaxed geometry from Alexandria via LeMat-Bulk. Energies are from PBE-GGA.

Cell lengths 5.242, 5.242, 5.242 Å; angles 60.00, 60.00, 60.00 degrees
Site moments in Bohr magnetons follow the coordinates.
Fractional positions:
Ag 0.000 0.000 0.000  0.02
Te 0.750 0.750 0.750  -0.03
Ru 0.875 0.375 0.375  0.73
Ru 0.375 0.375 0.875  0.73
Ru 0.375 0.875 0.375  0.73
Ru 0.375 0.375 0.375  0.73

Raw formation energy ... 0.688 eV per atom

Here is crystalline AgTeRu2 at its relaxed geometry from Alexandria via LeMat-Bulk. Energies are from PBE-GGA.

Cell lengths 4.984, 4.984, 4.902 Å; angles 78.12, 78.12, 35.81 degrees
Fractional positions:
Ag 0.744 0.744 0.772
Ru 0.987 0.987 0.027
Ru 0.253 0.253 0.247
Te 0.516 0.516 0.454

Raw formation energy ... 0.524 eV per atom

Here is crystalline AgTeRu at its relaxed geometry from Alexandria via LeMat-Bulk. Energies are from PBE-GGA.

Cell lengths 4.341, 4.341, 6.378 Å; angles 90.00, 90.00, 90.00 degrees
Fractional positions:
Ru 0.000 0.000 0.500
Ru 0.500 0.500 0.500
Te 0.000 0.500 0.258
Te 0.500 0.000 0.742
Ag 0.000 0.500 0.813
Ag 0.500 0.000 0.187

Raw formation energy ... 0.079 eV per atom

Here is crystalline AgTeRu2 at its relaxed geometry from Alexandria via LeMat-Bulk. Energies are from PBE-GGA.

Cell lengths 8.488, 8.488, 8.488 Å; angles 21.19, 21.19, 21.19 degrees
Fractional positions:
Ag 0.750 0.750 0.750
Ru 0.993 0.993 0.993
Ru 0.507 0.507 0.507
Te 0.250 0.250 0.250

Raw formation energy ... 0.547 eV per atom

Here is crystalline AgTeRu2 at its relaxed geometry from Alexandria via LeMat-Bulk. Energies are from PBE-GGA.

Cell lengths 3.980, 3.980, 9.916 Å; angles 78.42, 78.42, 90.00 degrees
Fractional positions:
Ru 0.569 0.125 0.250
Ru 0.181 0.625 0.250
Ru 0.375 0.431 0.750
Ru 0.875 0.819 0.750
Te 0.000 0.000 0.000
Te 0.750 0.250 0.500
Ag 0.500 0.500 0.000
Ag 0.250 0.750 0.500

Raw formation energy ... 0.751 eV per atom

- Which value of raw formation energy does entry 6 give?
  0.751 eV per atom